No. 1
Material: AlTc5
Method: DFT, PBE-GGA
State: optimized geometry

Lattice parameters (Å, degrees): 2.815 2.815 10.954 90.00 90.00 90.00
Space group P4/mmm (No. 123)
Inequivalent atoms, fractional coordinates:
Al 0.000 0.000 0.000 [1 per cell]
Tc 0.000 0.000 0.322 [2 per cell]
Tc 0.500 0.500 0.161 [2 per cell]
Tc 0.500 0.500 0.500 [1 per cell]

Summary:
- crystal system = tetragonal
- offset from the most stable computed form (meV/atom) = 35
- formation energy (eV/atom) = -0.09


No. 2
Material: Ba3Dy2PaAs6
Method: DFT, PBE-GGA
State: optimized geometry

Lattice parameters (Å, degrees): 7.523 13.038 7.869 90.00 108.62 90.00
Space group C2/m (No. 12)
Inequivalent atoms, fractional coordinates:
Ba 0.000 0.000 0.000 [2 per cell]
Ba 0.000 0.331 0.000 [4 per cell]
Dy 0.000 0.166 0.500 [4 per cell]
Pa 0.000 0.500 0.500 [2 per cell]
As 0.231 0.337 0.705 [8 per cell]
As 0.244 0.000 0.706 [4 per cell]

Summary:
- crystal system = monoclinic
- formation energy (eV/atom) = -1.20


No. 3
Material: KTb3Pu2Te6
Method: DFT, PBE-GGA
State: optimized geometry

Lattice parameters (Å, degrees): 19.577 4.411 9.064 90.00 104.15 90.00
Space group C2/m (No. 12)
Inequivalent atoms, fractional coordinates:
K 0.000 0.000 0.000 [2 per cell]
Tb 0.000 0.000 0.500 [2 per cell]
Tb 0.165 0.500 0.829 [4 per cell]
Pu 0.168 0.500 0.336 [4 per cell]
Te 0.000 0.500 0.266 [4 per cell]
Te 0.165 0.000 0.585 [4 per cell]
Te 0.173 0.000 0.081 [4 per cell]

Summary:
- crystal system = monoclinic
- raw formation energy (meV per atom) = -1244


No. 4
Material: LaPr5SmHo2
Method: DFT, PBE-GGA
State: optimized geometry

Lattice parameters (Å, degrees): 5.777 20.605 10.734 90.00 90.00 90.00
Space group Cmc2_1 (No. 36)
Inequivalent atoms, fractional coordinates:
La 0.000 0.085 0.000 [4 per cell]
Pr 0.000 0.023 0.293 [4 per cell]
Pr 0.000 0.112 0.579 [4 per cell]
Pr 0.000 0.205 0.257 [4 per cell]
Pr 0.000 0.220 0.865 [4 per cell]
Pr 0.000 0.484 0.576 [4 per cell]
Sm 0.000 0.301 0.564 [4 per cell]
Ho 0.000 0.383 0.875 [4 per cell]
Ho 0.000 0.387 0.286 [4 per cell]

Summary:
- crystal system = orthorhombic
- formation energy (eV/atom) = 0.14


No. 5
Material: Sc2ZnTe
Method: DFT, PBE-GGA
State: optimized geometry

Lattice parameters (Å, degrees): 7.593 7.593 6.445 90.00 90.00 90.00
Space group I-42d (No. 122)
Inequivalent atoms, fractional coordinates:
Sc 0.237 0.250 0.125 [8 per cell]
Zn 0.000 0.000 0.000 [4 per cell]
Te 0.000 0.000 0.500 [4 per cell]

Summary:
- crystal system = tetragonal
- raw formation energy (meV per atom) = -379
- offset from the most stable computed form (meV/atom) = 244


No. 6
Material: CsYSn2Pd
Method: DFT, PBE-GGA
State: optimized geometry

Lattice parameters (Å, degrees): 6.045 6.045 5.114 90.00 90.00 90.00
Space group P4/mmm (No. 123)
Inequivalent atoms, fractional coordinates:
Cs 0.000 0.000 0.000 [1 per cell]
Y 0.500 0.500 0.500 [1 per cell]
Sn 0.000 0.500 0.000 [2 per cell]
Pd 0.000 0.000 0.500 [1 per cell]

Summary:
- crystal system = tetragonal
- formation energy (eV/atom) = 1.11


No. 7
Material: PmNd3Tm2
Method: DFT, PBE-GGA
State: optimized geometry

Lattice parameters (Å, degrees): 13.265 3.551 17.773 90.00 102.45 90.00
Space group C2/m (No. 12)
Inequivalent atoms, fractional coordinates:
Pm 0.043 0.000 0.181 [4 per cell]
Nd 0.068 0.500 0.665 [4 per cell]
Nd 0.128 0.000 0.490 [4 per cell]
Nd 0.228 0.000 0.836 [4 per cell]
Tm 0.135 0.000 0.003 [4 per cell]
Tm 0.198 0.500 0.335 [4 per cell]

Summary:
- crystal system = monoclinic
- offset from the most stable computed form (meV/atom) = 49
- formation energy (eV/atom) = 0.11


No. 8
Material: SrCa2YAu
Method: DFT, PBE-GGA
State: optimized geometry

Lattice parameters (Å, degrees): 5.868 5.868 5.632 90.00 90.00 90.00
Space group P4/mmm (No. 123)
Inequivalent atoms, fractional coordinates:
Sr 0.000 0.000 0.000 [1 per cell]
Ca 0.000 0.500 0.500 [2 per cell]
Y 0.500 0.500 0.000 [1 per cell]
Au 0.500 0.500 0.500 [1 per cell]

Summary:
- crystal system = tetragonal
- formation energy (eV/atom) = -0.26